(1)
# GdErRu2

A geometry-optimized GdErRu2 structure (PBE, the Alexandria database).

Values from the calculation:
The space-group type is Fm-3m (225). Its formation energy is -310 meV per atom. Its energy above the lowest structure with this stoichiometry is 6.4 meV per atom. As for the density of states at the Fermi level: 4.0 states/eV/cell.

Lattice parameters (Å, degrees): 4.8060 4.8060 4.8060 60.00 60.00 60.00
Last column: nearest neighbours and their distance in Å.
Sites, in units of the cell vectors:
Ru1 0.2500 0.2500 0.2500  4 Gd 2.94, 4 Er 2.94
Ru2 0.7500 0.7500 0.7500  4 Gd 2.94, 4 Er 2.94
Gd1 0.0000 0.0000 0.0000  8 Ru 2.94
Er1 0.5000 0.5000 0.5000  8 Ru 2.94

(2)
# LaPm3Os

A geometry-optimized LaPm3Os structure (PBE, the Alexandria database).

Values from the calculation:
The space-group type is Pnma (62). Its formation energy is 1 meV per atom. Its energy above the lowest structure with this stoichiometry is 107.3 meV per atom. As for the density of states at the Fermi level: 19.2 states/eV/cell.

Lattice parameters (Å, degrees): 4.8821 10.3806 12.3579 90.00 90.00 90.00
Last column: nearest neighbours and their distance in Å.
Sites, in units of the cell vectors:
La1 0.7500 0.8754 0.0362  7 Pm 3.44-3.78, 2 La 3.67
La2 0.2500 0.6246 0.5362  7 Pm 3.44-3.78, 2 La 3.67
La3 0.7500 0.3754 0.4638  7 Pm 3.44-3.78, 2 La 3.67
La4 0.2500 0.1246 0.9638  7 Pm 3.44-3.78, 2 La 3.67
Pm1 0.2500 0.6078 0.0553  3 Os 2.85-3.07
Pm2 0.7500 0.3922 0.9447  3 Os 2.85-3.07
Pm3 0.2500 0.1078 0.4447  3 Os 2.85-3.07
Pm4 0.7500 0.8922 0.5553  3 Os 2.85-3.07
Pm5 0.2500 0.3165 0.6921  1 Os 2.75
Pm6 0.7500 0.1835 0.1921  1 Os 2.75
Pm7 0.2500 0.8165 0.8079  1 Os 2.75
Pm8 0.7500 0.5873 0.7301  2 Os 2.87
Pm9 0.2500 0.4127 0.2699  2 Os 2.87
Pm10 0.7500 0.0873 0.7699  2 Os 2.87
Pm11 0.7500 0.6835 0.3079  1 Os 2.75
Pm12 0.2500 0.9127 0.2301  2 Os 2.87
Os1 0.2500 0.0173 0.6625  6 Pm 2.75-3.07
Os2 0.2500 0.5173 0.8375  6 Pm 2.75-3.07
Os3 0.7500 0.4827 0.1625  6 Pm 2.75-3.07
Os4 0.7500 0.9827 0.3375  6 Pm 2.75-3.07

(3)
# Ce5HoSb4

A geometry-optimized Ce5HoSb4 structure (PBE, the Alexandria database).

Values from the calculation:
The space-group type is C2/m (12). The calculation puts the total DFT energy (no corrections) at -5.668 eV per atom. As for the density of states at the Fermi level: 36.9 states/eV/cell.

Lattice parameters (Å, degrees): 4.3367 8.6758 9.7498 104.14 102.85 90.00
Last column: nearest neighbours and their distance in Å.
Sites, in units of the cell vectors:
Ce1 0.8235 0.6483 0.6470  3 Sb 3.13-3.15
Ce2 0.8361 0.1817 0.6722  4 Sb 3.12-3.15
Ce3 0.1639 0.8183 0.3278  4 Sb 3.12-3.15
Ce4 0.5000 0.5000 0.0000  4 Sb 3.10
Ce5 0.1765 0.3517 0.3530  3 Sb 3.13-3.15
Ho1 0.5000 0.0000 0.0000  6 Sb 3.04-3.07
Sb1 0.3333 0.9166 0.6666  1 Ho 3.07, 5 Ce 3.12-3.15
Sb2 0.9933 0.7507 0.9865  2 Ho 3.04, 4 Ce 3.10-3.15
Sb3 0.6667 0.0834 0.3334  1 Ho 3.07, 5 Ce 3.12-3.15
Sb4 0.0067 0.2493 0.0135  2 Ho 3.04, 4 Ce 3.10-3.15

(4)
# ScTc2Br

A geometry-optimized ScTc2Br structure (PBE, the Alexandria database).

Values from the calculation:
The space-group type is Cmmm (65). Its energy above the lowest structure with this stoichiometry is 665.0 meV per atom. As for the density of states at the Fermi level: 4.0 states/eV/cell.

Lattice parameters (Å, degrees): 5.0690 5.0690 3.1248 90.00 90.00 120.10
Last column: nearest neighbours and their distance in Å.
Sites, in units of the cell vectors:
Br1 0.5000 0.0000 0.5000  2 Sc 2.53
Sc1 0.0000 0.5000 0.5000  2 Br 2.53
Tc1 0.0000 0.0000 0.0000  2 Tc 2.53
Tc2 0.5000 0.5000 0.0000  2 Tc 2.53

(5)
# NdHoTm2

A geometry-optimized NdHoTm2 structure (PBE, the Alexandria database).

Values from the calculation:
The space-group type is R3m (160). Its formation energy is 11 meV per atom. Its energy above the lowest structure with this stoichiometry is 1.8 meV per atom. As for the density of states at the Fermi level: 6.3 states/eV/cell.

Lattice parameters (Å, degrees): 3.5739 3.5739 11.5988 81.14 81.14 60.00
Last column: nearest neighbours and their distance in Å.
Sites, in units of the cell vectors:
Nd1 0.6662 0.6662 0.0013  6 Tm 3.55-3.58, 6 Nd 3.57
Ho1 0.5004 0.5004 0.4987  6 Tm 3.47-3.49, 6 Ho 3.57
Tm1 0.0849 0.0849 0.7453  3 Ho 3.49, 6 Tm 3.57, 3 Nd 3.58
Tm2 0.2485 0.2485 0.2546  3 Ho 3.47, 3 Nd 3.55, 6 Tm 3.57

(6)
# Rb2IrCl7

A geometry-optimized Rb2IrCl7 structure (PBE, the Alexandria database).

Values from the calculation:
The space-group type is C2/c (15). Its energy above the lowest structure with this stoichiometry is 64.6 meV per atom.

Lattice parameters (Å, degrees): 7.2514 10.8152 9.2838 85.37 67.01 70.41
Last column: nearest neighbours and their distance in Å.
Sites, in units of the cell vectors:
Rb1 0.6194 0.9575 0.7086  7 Cl 3.32-3.61
Rb2 0.7145 0.4575 0.2086  7 Cl 3.32-3.61
Rb3 0.2855 0.5425 0.7914  7 Cl 3.32-3.61
Rb4 0.3806 0.0425 0.2914  7 Cl 3.32-3.61
Ir1 0.9852 0.2500 0.7500  7 Cl 2.38-2.44
Ir2 0.0148 0.7500 0.2500  7 Cl 2.38-2.44
Cl1 0.8281 0.4787 0.8262  1 Ir 2.38
Cl2 0.8670 0.9787 0.3262  1 Ir 2.38
Cl3 0.2113 0.8134 0.9936  1 Ir 2.43
Cl4 0.3366 0.2576 0.5820  1 Ir 2.44
Cl5 0.6551 0.2500 0.7500  1 Ir 2.39
Cl6 0.9818 0.3134 0.4936  1 Ir 2.43
Cl7 0.1762 0.2424 0.9180  1 Ir 2.44
Cl8 0.8238 0.7576 0.0820  1 Ir 2.44
Cl9 0.0182 0.6866 0.5064  1 Ir 2.43
Cl10 0.3449 0.7500 0.2500  1 Ir 2.39
Cl11 0.6634 0.7424 0.4180  1 Ir 2.44
Cl12 0.7887 0.1866 0.0064  1 Ir 2.43
Cl13 0.1330 0.0213 0.6738  1 Ir 2.38
Cl14 0.1719 0.5213 0.1738  1 Ir 2.38

(7)
# Zr2TiGa2

A geometry-optimized Zr2TiGa2 structure (PBE, the Alexandria database).

Values from the calculation:
The space-group type is P4/mbm (127). Its formation energy is -505 meV per atom. Its energy above the lowest structure with this stoichiometry is 0.0 meV per atom. As for the density of states at the Fermi level: 10.2 states/eV/cell.

Lattice parameters (Å, degrees): 7.0821 7.0821 3.8151 90.00 90.00 90.00
Last column: nearest neighbours and their distance in Å.
Sites, in units of the cell vectors:
Ga1 0.3730 0.8730 0.0000  1 Ga 2.54, 2 Zr 2.75, 2 Ti 2.79
Ga2 0.8730 0.6270 0.0000  1 Ga 2.54, 2 Zr 2.75, 2 Ti 2.79
Ga3 0.6270 0.1270 0.0000  1 Ga 2.54, 2 Zr 2.75, 2 Ti 2.79
Ga4 0.1270 0.3730 0.0000  1 Ga 2.54, 2 Zr 2.75, 2 Ti 2.79
Zr1 0.1756 0.6756 0.5000  6 Ga 2.75-2.89
Zr2 0.6756 0.8244 0.5000  6 Ga 2.75-2.89
Zr3 0.8244 0.3244 0.5000  6 Ga 2.75-2.89
Zr4 0.3244 0.1756 0.5000  6 Ga 2.75-2.89
Ti1 0.0000 0.0000 0.0000  4 Ga 2.79
Ti2 0.5000 0.5000 0.0000  4 Ga 2.79

(8)
# KVCuCl5

A geometry-optimized KVCuCl5 structure (PBE, the Alexandria database).

Values from the calculation:
The space-group type is C2/c (15). The calculation puts the total DFT energy (no corrections) at -4.158 eV per atom. As for the density of states at the Fermi level: 13.8 states/eV/cell.

Lattice parameters (Å, degrees): 7.0475 7.0475 9.1216 102.92 102.92 107.53
Last column: nearest neighbours and their distance in Å.
Sites, in units of the cell vectors:
K1 0.3429 0.6571 0.2500  7 Cl 3.11-3.39
K2 0.6571 0.3429 0.7500  7 Cl 3.11-3.39
V1 0.0000 0.0000 0.5000  6 Cl 2.40-2.42
V2 0.0000 0.0000 0.0000  6 Cl 2.40-2.42
Cu1 0.6900 0.3100 0.2500  4 Cl 2.30-2.34
Cu2 0.3100 0.6900 0.7500  4 Cl 2.30-2.34
Cl1 0.0668 0.9332 0.2500  2 V 2.40
Cl2 0.9332 0.0668 0.7500  2 V 2.40
Cl3 0.9057 0.2954 0.0962  1 Cu 2.30, 1 V 2.41
Cl4 0.0943 0.7046 0.9038  1 Cu 2.30, 1 V 2.41
Cl5 0.7046 0.0943 0.4038  1 Cu 2.30, 1 V 2.41
Cl6 0.2954 0.9057 0.5962  1 Cu 2.30, 1 V 2.41
Cl7 0.7693 0.6379 0.4311  1 Cu 2.34, 1 V 2.42
Cl8 0.2307 0.3621 0.5689  1 Cu 2.34, 1 V 2.42
Cl9 0.3621 0.2307 0.0689  1 Cu 2.34, 1 V 2.42
Cl10 0.6379 0.7693 0.9311  1 Cu 2.34, 1 V 2.42

(9)
# DyZr6Sc12

A geometry-optimized DyZr6Sc12 structure (PBE, the Alexandria database).

Values from the calculation:
The space-group type is R-3m (166). Its formation energy is 467 meV per atom. Its energy above the lowest structure with this stoichiometry is 419.0 meV per atom. As for the density of states at the Fermi level: 32.1 states/eV/cell.

Lattice parameters (Å, degrees): 8.0369 8.0369 8.0369 99.03 99.03 99.03
Last column: nearest neighbours and their distance in Å.
Sites, in units of the cell vectors:
Dy1 0.0000 0.0000 0.0000  6 Zr 3.25
Zr1 0.7483 0.2010 0.2010  4 Sc 2.69-2.92
Zr2 0.2010 0.2010 0.7483  4 Sc 2.69-2.92
Zr3 0.2010 0.7483 0.2010  4 Sc 2.69-2.92
Zr4 0.7990 0.7990 0.2517  4 Sc 2.69-2.92
Zr5 0.2517 0.7990 0.7990  4 Sc 2.69-2.92
Zr6 0.7990 0.2517 0.7990  4 Sc 2.69-2.92
Sc1 0.8802 0.1198 0.5000  4 Zr 2.69-2.92, 1 Sc 2.93
Sc2 0.8112 0.5284 0.5284  9 Sc 3.23-3.52, 3 Zr 3.33-3.35
Sc3 0.5284 0.5284 0.8112  9 Sc 3.23-3.52, 3 Zr 3.33-3.35
Sc4 0.4716 0.1888 0.4716  9 Sc 3.23-3.52, 3 Zr 3.33-3.35
Sc5 0.4716 0.4716 0.1888  9 Sc 3.23-3.52, 3 Zr 3.33-3.35
Sc6 0.1888 0.4716 0.4716  9 Sc 3.23-3.52, 3 Zr 3.33-3.35
Sc7 0.1198 0.5000 0.8802  4 Zr 2.69-2.92, 1 Sc 2.93
Sc8 0.5000 0.8802 0.1198  4 Zr 2.69-2.92, 1 Sc 2.93
Sc9 0.1198 0.8802 0.5000  4 Zr 2.69-2.92, 1 Sc 2.93
Sc10 0.8802 0.5000 0.1198  4 Zr 2.69-2.92, 1 Sc 2.93
Sc11 0.5000 0.1198 0.8802  4 Zr 2.69-2.92, 1 Sc 2.93
Sc12 0.5284 0.8112 0.5284  9 Sc 3.23-3.52, 3 Zr 3.33-3.35

(10)
# GaSnIrS2

A geometry-optimized GaSnIrS2 structure (PBE, the Alexandria database).

Values from the calculation:
The space-group type is P1 (1). Its energy above the lowest structure with this stoichiometry is 198.5 meV per atom. As for the density of states at the Fermi level: 0.1 states/eV/cell.

Lattice parameters (Å, degrees): 3.8743 5.0569 5.9329 110.30 93.02 100.55
Last column: nearest neighbours and their distance in Å.
Sites, in units of the cell vectors:
S1 0.9895 0.0638 0.3192  1 Ga 2.49, 2 Ir 2.51-2.56, 1 Sn 2.67
S2 0.6768 0.2721 0.8493  2 Ga 2.43-2.49, 1 Ir 2.46, 1 Sn 2.61
Ir1 0.4421 0.8519 0.4757  1 Ga 2.45, 3 S 2.46-2.56, 2 Sn 2.58-2.59
Sn1 0.8885 0.5815 0.5900  2 Ir 2.58-2.59, 2 S 2.61-2.67
Ga1 0.2409 0.4064 0.1223  3 S 2.43-2.49, 1 Ir 2.45

(11)
# LiP2Br

A geometry-optimized LiP2Br structure (PBE, the Alexandria database).

Values from the calculation:
The space-group type is Fm-3m (225). Its energy above the lowest structure with this stoichiometry is 1251.9 meV per atom. As for the density of states at the Fermi level: 2.2 states/eV/cell.

Lattice parameters (Å, degrees): 4.7098 4.7098 4.7098 60.00 60.00 60.00
Last column: nearest neighbours and their distance in Å.
Sites, in units of the cell vectors:
P1 0.2500 0.2500 0.2500  4 Br 2.88, 4 Li 2.88
P2 0.7500 0.7500 0.7500  4 Li 2.88, 4 Br 2.88
Br1 0.5000 0.5000 0.5000  8 P 2.88
Li1 0.0000 0.0000 0.0000  8 P 2.88

(12)
# NpNi2Ge

A geometry-optimized NpNi2Ge structure (PBE, the Alexandria database).

Values from the calculation:
The space-group type is R-3m (166). Its formation energy is -187 meV per atom. As for the density of states at the Fermi level: 12.0 states/eV/cell.

Lattice parameters (Å, degrees): 4.0809 4.0809 5.1026 66.43 66.43 60.00
Last column: nearest neighbours and their distance in Å.
Sites, in units of the cell vectors:
Np1 0.0000 0.0000 0.0000  8 Ni 2.84-2.90
Ni1 0.7906 0.7906 0.6283  3 Ge 2.43, 3 Ni 2.63
Ni2 0.2094 0.2094 0.3717  3 Ge 2.43, 3 Ni 2.63
Ge1 0.5000 0.5000 0.5000  6 Ni 2.43

In the order shown, the computed total magnetization values come out to 7.0, 0.0, 6.6, 0.0, 0.0, 0.0, 3.3, 4.0, 0.0, 0.0, 0.0, 3.7 μB/cell.